Entry 1:
KAg2W: relaxed, PBE-GGA.

Structure (POSCAR):
```
KAg2W
1.0
2.7754 0.0000 0.0000
0.0000 6.0161 0.0000
0.0000 0.0000 11.4891
K Ag W
2 4 2
direct
0.0000 0.0000 0.0000
0.5000 0.5000 0.5000
0.0000 0.5000 0.2124
0.0000 0.5000 0.7876
0.5000 0.0000 0.2876
0.5000 0.0000 0.7124
0.0000 0.0000 0.5000
0.5000 0.5000 0.0000
```

## Properties
D(E_F) = 0.71 states/eV/atom
Offset from the most stable computed form = 425.1 meV per atom
Energy of formation from the pure elements = 26.284 kcal/mol of atoms
Calculated density = 7.59 g/cm³

Entry 2:
KAgW2: relaxed, PBE-GGA.

Structure (POSCAR):
```
KAgW2
1.0
2.7021 0.0000 0.0000
0.0000 5.1049 0.0000
0.0000 0.0000 5.8029
K Ag W
1 1 2
direct
0.0000 0.0000 0.0000
0.5000 0.5000 0.0000
0.0000 0.5000 0.5000
0.5000 0.0000 0.5000
```

## Properties
D(E_F) = 0.68 states/eV/atom
Offset from the most stable computed form = 559.2 meV per atom
Energy of formation from the pure elements = 29.620 kcal/mol of atoms
Calculated density = 10.68 g/cm³

Entry 3:
KAgW2: relaxed, PBE-GGA.

Structure (POSCAR):
```
KAgW2
1.0
6.6657 0.0000 0.0000
0.0000 6.6657 0.0000
0.0000 0.0000 6.6657
K Ag W
4 4 8
direct
0.0000 0.0000 0.0000
0.0000 0.5000 0.5000
0.5000 0.0000 0.5000
0.5000 0.5000 0.0000
0.0000 0.0000 0.5000
0.0000 0.5000 0.0000
0.5000 0.0000 0.0000
0.5000 0.5000 0.5000
0.2500 0.2500 0.2500
0.2500 0.2500 0.7500
0.2500 0.7500 0.2500
0.2500 0.7500 0.7500
0.7500 0.2500 0.2500
0.7500 0.2500 0.7500
0.7500 0.7500 0.2500
0.7500 0.7500 0.7500
```

## Properties
D(E_F) = 0.64 states/eV/atom
Offset from the most stable computed form = 1547.1 meV per atom
Energy of formation from the pure elements = 52.401 kcal/mol of atoms
Calculated density = 11.54 g/cm³